(1)
# TcNiSb PBE-GGA relaxed
# **Raw total energy**: -6.514 eV per atom
# **M_tot**: 1.0 μB/f.u.
# **Polymorph energy (0 for the lowest one)**: 0.006 eV/atom
# **DOS(E_F)**: 8.69 states/eV per cell
# **Calculated volume**: 15.6 Å³ per atom
# **ΔE_f (raw)**: 242 meV per atom
data_TcNiSb
_chemical_formula_sum 'Tc2 Ni2 Sb2'
_cell_length_a 3.297
_cell_length_b 3.297
_cell_length_c 8.587
_cell_angle_alpha 90.00
_cell_angle_beta 90.00
_cell_angle_gamma 90.00
_symmetry_space_group_name_H-M 'I 4 m m'
_symmetry_Int_Tables_number 107
_symmetry_space_group_name_Hall 'I 4 -2'
loop_
_atom_site_label
_atom_site_type_symbol
_atom_site_fract_x
_atom_site_fract_y
_atom_site_fract_z
_atom_site_occupancy
Tc1 Tc 0.000 0.000 0.000 1
Ni1 Ni 0.000 0.000 0.666 1
Sb1 Sb 0.000 0.000 0.327 1

(2)
# Tc2NiSb PBE-GGA relaxed
# **Raw total energy**: -7.478 eV per atom
# **M_tot**: 0.0 μB/f.u.
# **Polymorph energy (0 for the lowest one)**: 0.063 eV/atom
# **DOS(E_F)**: 7.19 states/eV per cell
# **Calculated volume**: 15.3 Å³ per atom
# **ΔE_f (raw)**: 181 meV per atom
data_Tc2NiSb
_chemical_formula_sum 'Tc4 Ni2 Sb2'
_cell_length_a 8.923
_cell_length_b 2.996
_cell_length_c 4.653
_cell_angle_alpha 90.00
_cell_angle_beta 100.27
_cell_angle_gamma 90.00
_symmetry_space_group_name_H-M 'C 1 m 1'
_symmetry_Int_Tables_number 8
loop_
_symmetry_equiv_pos_as_xyz
'x,y,z'
'x,-y,z'
'x+1/2,y+1/2,z'
'x+1/2,-y+1/2,z'
loop_
_atom_site_label
_atom_site_type_symbol
_atom_site_fract_x
_atom_site_fract_y
_atom_site_fract_z
_atom_site_occupancy
Tc1 Tc 0.000 0.000 0.000 1
Tc2 Tc 0.243 0.500 0.205 1
Ni1 Ni 0.490 0.000 0.462 1
Sb1 Sb 0.243 0.000 0.697 1

(3)
# Tc2NiSb PBE-GGA relaxed
# **Raw total energy**: -7.510 eV per atom
# **M_tot**: 0.0 μB/f.u.
# **Polymorph energy (0 for the lowest one)**: 0.031 eV/atom
# **DOS(E_F)**: 3.33 states/eV per cell
# **Calculated volume**: 15.3 Å³ per atom
# **ΔE_f (raw)**: 149 meV per atom
data_Tc2NiSb
_chemical_formula_sum 'Tc2 Ni1 Sb1'
_cell_length_a 2.997
_cell_length_b 3.680
_cell_length_c 5.553
_cell_angle_alpha 90.00
_cell_angle_beta 90.25
_cell_angle_gamma 90.00
_symmetry_space_group_name_H-M 'P 1 m 1'
_symmetry_Int_Tables_number 6
loop_
_symmetry_equiv_pos_as_xyz
'x,y,z'
'x,-y,z'
loop_
_atom_site_label
_atom_site_type_symbol
_atom_site_fract_x
_atom_site_fract_y
_atom_site_fract_z
_atom_site_occupancy
Tc1 Tc 0.000 0.000 0.000 1
Tc2 Tc 0.499 0.500 0.781 1
Ni1 Ni 0.503 0.500 0.250 1
Sb1 Sb 0.000 0.000 0.484 1